Record 1
# Nb3AlFe8

Nb3AlFe8 after structural relaxation (GGA-PBEsol, the Alexandria database).

Values from the calculation:
- Calculated formation energy: -0.21 eV per atom
- DOS at the Fermi energy: 13.05 states/eV/f.u.
- Uncorrected energy: -9.228 eV/atom
- Space-group type: P3m1, No. 156

Lattice parameters (Å, degrees): 4.6714 4.6714 7.7309 90.00 90.00 120.00
Last column: nearest neighbours and their distance in Å.
Atoms (fractional coordinates):
Nb: 0.0000 0.0000 0.0000  12 Fe 2.72-2.76, 3 Al 2.85, 1 Nb 2.88
Nb: 0.0000 0.0000 0.3725  12 Fe 2.73-2.81, 4 Nb 2.88-2.92
Nb: 0.6667 0.3333 0.5186  12 Fe 2.69-2.87, 1 Al 2.82, 3 Nb 2.92
Al: 0.6667 0.3333 0.8828  12 Fe 2.71-2.76, 4 Nb 2.82-2.85
Fe: 0.1639 0.3277 0.6923  6 Fe 2.30-2.43
Fe: 0.1639 0.8361 0.6923  6 Fe 2.30-2.43
Fe: 0.3333 0.6667 0.4327  6 Fe 2.33-2.43
Fe: 0.3333 0.6667 0.9385  6 Fe 2.35-2.38
Fe: 0.5040 0.0080 0.1894  6 Fe 2.28-2.39
Fe: 0.5040 0.4960 0.1894  6 Fe 2.28-2.39
Fe: 0.6723 0.8361 0.6923  6 Fe 2.30-2.43
Fe: 0.9920 0.4960 0.1894  6 Fe 2.28-2.39

---

Record 2
# Nd6AlFe13

Nd6AlFe13 after structural relaxation (GGA-PBEsol, the Alexandria database).

Values from the calculation:
- Calculated formation energy: 0.00 eV per atom
- DOS at the Fermi energy: 23.00 states/eV/f.u.
- Uncorrected energy: -7.577 eV/atom
- Space-group type: I4/mcm, No. 140

Lattice parameters (Å, degrees): 12.7046 12.7046 12.7046 143.90 143.90 51.98
Last column: nearest neighbours and their distance in Å.
Atoms (fractional coordinates):
Nd: 0.0208 0.5208 0.1697  4 Fe 2.90-3.25
Nd: 0.1065 0.1065 0.0000  12 Fe 2.99-3.19, 1 Al 3.28
Nd: 0.1489 0.9792 0.5000  4 Fe 2.90-3.25
Nd: 0.3511 0.8511 0.8303  4 Fe 2.90-3.25
Nd: 0.3935 0.3935 0.0000  12 Fe 2.99-3.19, 1 Al 3.28
Nd: 0.4792 0.6489 0.5000  4 Fe 2.90-3.25
Nd: 0.5208 0.3511 0.5000  4 Fe 2.90-3.25
Nd: 0.6065 0.6065 0.0000  12 Fe 2.99-3.19, 1 Al 3.28
Nd: 0.6489 0.1489 0.1697  4 Fe 2.90-3.25
Nd: 0.8511 0.0208 0.5000  4 Fe 2.90-3.25
Nd: 0.8935 0.8935 0.0000  12 Fe 2.99-3.19, 1 Al 3.28
Nd: 0.9792 0.4792 0.8303  4 Fe 2.90-3.25
Al: 0.2500 0.2500 0.0000  10 Nd 3.28
Al: 0.7500 0.7500 0.0000  10 Nd 3.28
Fe: 0.0000 0.5000 0.5000  12 Fe 2.34-2.49
Fe: 0.0183 0.2936 0.5000  7 Fe 2.45-2.59
Fe: 0.0660 0.2098 0.2758  10 Fe 2.34-2.59
Fe: 0.1210 0.6210 0.8598  9 Fe 2.41-2.69
Fe: 0.2064 0.4817 0.5000  7 Fe 2.45-2.59
Fe: 0.2098 0.9340 0.1438  10 Fe 2.34-2.59
Fe: 0.2389 0.7389 0.8598  9 Fe 2.41-2.69
Fe: 0.2611 0.1210 0.5000  9 Fe 2.41-2.69
Fe: 0.2902 0.4340 0.7242  10 Fe 2.34-2.59
Fe: 0.2936 0.7936 0.2752  7 Fe 2.45-2.59
Fe: 0.3790 0.2389 0.5000  9 Fe 2.41-2.69
Fe: 0.4340 0.7098 0.1438  10 Fe 2.34-2.59
Fe: 0.4817 0.9817 0.2752  7 Fe 2.45-2.59
Fe: 0.5000 0.0000 0.5000  12 Fe 2.34-2.49
Fe: 0.5183 0.0183 0.7248  7 Fe 2.45-2.59
Fe: 0.5660 0.2902 0.8562  10 Fe 2.34-2.59
Fe: 0.6210 0.7611 0.5000  9 Fe 2.41-2.69
Fe: 0.7064 0.2064 0.7248  7 Fe 2.45-2.59
Fe: 0.7098 0.5660 0.2758  10 Fe 2.34-2.59
Fe: 0.7389 0.8790 0.5000  9 Fe 2.41-2.69
Fe: 0.7611 0.2611 0.1402  9 Fe 2.41-2.69
Fe: 0.7902 0.0660 0.8562  10 Fe 2.34-2.59
Fe: 0.7936 0.5183 0.5000  7 Fe 2.45-2.59
Fe: 0.8790 0.3790 0.1402  9 Fe 2.41-2.69
Fe: 0.9340 0.7902 0.7242  10 Fe 2.34-2.59
Fe: 0.9817 0.7064 0.5000  7 Fe 2.45-2.59

---

Record 3
# Nd3AlFeS7

Nd3AlFeS7 after structural relaxation (GGA-PBEsol, the Alexandria database).

Values from the calculation:
- DOS at the Fermi energy: 0.06 states/eV/f.u.
- Uncorrected energy: -6.551 eV/atom
- Raw formation energy: -1.614 eV/atom
- Space-group type: P6_3, No. 173

Lattice parameters (Å, degrees): 9.5549 9.5549 6.2256 90.00 90.00 120.00
Last column: nearest neighbours and their distance in Å.
Atoms (fractional coordinates):
Nd: 0.1745 0.7988 0.0000  6 S 2.77-2.89
Nd: 0.2012 0.3757 0.0000  6 S 2.77-2.89
Nd: 0.3757 0.1745 0.5000  6 S 2.77-2.89
Nd: 0.6243 0.8255 0.0000  6 S 2.77-2.89
Nd: 0.7988 0.6243 0.5000  6 S 2.77-2.89
Nd: 0.8255 0.2012 0.5000  6 S 2.77-2.89
Al: 0.3333 0.6667 0.5753  4 S 2.21-2.24
Al: 0.6667 0.3333 0.0753  4 S 2.21-2.24
Fe: 0.0000 0.0000 0.1492  6 S 2.33-2.35
Fe: 0.0000 0.0000 0.6492  6 S 2.33-2.35
S: 0.0832 0.5319 0.7130  1 Al 2.24
S: 0.0984 0.8879 0.3963  2 Fe 2.33-2.35
S: 0.1121 0.2106 0.3963  2 Fe 2.33-2.35
S: 0.2106 0.0984 0.8963  2 Fe 2.33-2.35
S: 0.3333 0.6667 0.2196  1 Al 2.21
S: 0.4487 0.9168 0.7130  1 Al 2.24
S: 0.4681 0.5513 0.7130  1 Al 2.24
S: 0.5319 0.4487 0.2130  1 Al 2.24
S: 0.5513 0.0832 0.2130  1 Al 2.24
S: 0.6667 0.3333 0.7196  1 Al 2.21
S: 0.7894 0.9016 0.3963  2 Fe 2.33-2.35
S: 0.8879 0.7894 0.8963  2 Fe 2.33-2.35
S: 0.9016 0.1121 0.8963  2 Fe 2.33-2.35
S: 0.9168 0.4681 0.2130  1 Al 2.24

---

Record 4
# AlFe2Ni

AlFe2Ni after structural relaxation (GGA-PBEsol, the Alexandria database).

Values from the calculation:
- Calculated formation energy: -0.14 eV per atom
- DOS at the Fermi energy: 3.68 states/eV/f.u.
- Uncorrected energy: -7.188 eV/atom
- Space-group type: P1, No. 1

Lattice parameters (Å, degrees): 2.5461 4.2549 4.4080 99.05 90.98 104.92
Last column: nearest neighbours and their distance in Å.
Atoms (fractional coordinates):
Al: 0.0000 0.0000 0.0000  3 Ni 2.44-2.53, 7 Fe 2.51-2.59, 2 Al 2.55
Fe: 0.5189 0.0138 0.5012  5 Fe 2.42-2.59, 3 Ni 2.49-2.56, 4 Al 2.51-2.59
Fe: 0.7278 0.5094 0.2713  5 Fe 2.42-2.59, 4 Ni 2.51-2.62, 3 Al 2.52-2.57
Ni: 0.2432 0.5030 0.7623  3 Al 2.44-2.53, 7 Fe 2.49-2.62, 2 Ni 2.55

---

Record 5
# AlFeNi2

AlFeNi2 after structural relaxation (GGA-PBEsol, the Alexandria database).

Values from the calculation:
- Calculated formation energy: -0.29 eV per atom
- DOS at the Fermi energy: 2.98 states/eV/f.u.
- Uncorrected energy: -6.635 eV/atom
- Space-group type: Pmmm, No. 47

Lattice parameters (Å, degrees): 2.5839 3.3921 5.1316 90.00 90.00 90.00
Last column: nearest neighbours and their distance in Å.
Atoms (fractional coordinates):
Al: 0.0000 0.0000 0.0000  8 Ni 2.50, 2 Fe 2.57, 2 Al 2.58
Fe: 0.0000 0.0000 0.5000  8 Ni 2.47, 2 Al 2.57, 2 Fe 2.58
Ni: 0.5000 0.5000 0.2557  4 Fe 2.47, 4 Al 2.50, 4 Ni 2.51-2.62
Ni: 0.5000 0.5000 0.7443  4 Fe 2.47, 4 Al 2.50, 4 Ni 2.51-2.62

---

Record 6
# AlFe2Ni

AlFe2Ni after structural relaxation (GGA-PBEsol, the Alexandria database).

Values from the calculation:
- Calculated formation energy: -0.25 eV per atom
- DOS at the Fermi energy: 2.81 states/eV/f.u.
- Uncorrected energy: -7.293 eV/atom
- Space-group type: I4/mmm, No. 139

Lattice parameters (Å, degrees): 4.5110 4.5110 4.5110 135.10 135.10 65.37
Last column: nearest neighbours and their distance in Å.
Atoms (fractional coordinates):
Al: 0.0000 0.0000 0.0000  4 Ni 2.44, 8 Fe 2.56
Fe: 0.2500 0.7500 0.5000  4 Fe 2.44, 4 Ni 2.56, 4 Al 2.56
Fe: 0.7500 0.2500 0.5000  4 Fe 2.44, 4 Ni 2.56, 4 Al 2.56
Ni: 0.5000 0.5000 0.0000  4 Al 2.44, 8 Fe 2.56

---

Record 7
# AlFe2Ni

AlFe2Ni after structural relaxation (GGA-PBEsol, the Alexandria database).

Values from the calculation:
- Calculated formation energy: -0.26 eV per atom
- DOS at the Fermi energy: 2.29 states/eV/f.u.
- Uncorrected energy: -7.305 eV/atom
- Space-group type: F-43m, No. 216

Lattice parameters (Å, degrees): 3.9953 3.9953 3.9953 60.00 60.00 60.00
Last column: nearest neighbours and their distance in Å.
Atoms (fractional coordinates):
Al: 0.0000 0.0000 0.0000  4 Ni 2.45, 4 Fe 2.45
Fe: 0.2500 0.2500 0.2500  4 Fe 2.45, 4 Al 2.45
Fe: 0.5000 0.5000 0.5000  4 Fe 2.45, 4 Ni 2.45
Ni: 0.7500 0.7500 0.7500  4 Fe 2.45, 4 Al 2.45

---

Record 8
# Al2Fe2Ni

Al2Fe2Ni after structural relaxation (GGA-PBEsol, the Alexandria database).

Values from the calculation:
- Calculated formation energy: 0.45 eV per atom
- DOS at the Fermi energy: 5.44 states/eV/f.u.
- Uncorrected energy: -6.005 eV/atom
- Space-group type: I4/mmm, No. 139

Lattice parameters (Å, degrees): 6.0871 6.0871 6.0871 146.50 146.50 48.10
Last column: nearest neighbours and their distance in Å.
Atoms (fractional coordinates):
Al: 0.2500 0.7500 0.5000  4 Fe 2.46, 4 Al 2.48
Al: 0.7500 0.2500 0.5000  4 Fe 2.46, 4 Al 2.48
Fe: 0.0948 0.0948 0.0000  1 Fe 2.11
Fe: 0.9052 0.9052 0.0000  1 Fe 2.11
Ni: 0.5000 0.5000 0.0000  8 Fe 2.70

---

Volume values, unit A^3/atom, following the record order: 12.18; 17.70; 20.51; 11.37; 11.24; 11.27; 11.27; 13.68.